*one*
The following is a DFT calculation (GGA-PBE) of a relaxed structure of ZnNiSe2Br.

Values from the calculation:
Crystal system   tetragonal
Density   5.12 g/cm3

Unit cell a=4.8626 b=4.8626 c=4.9648 alpha=90.00 beta=90.00 gamma=90.00
Closest atoms and distances in Å follow each position.
Atoms (fractional coordinates):
Zn 0.0000 0.0000 0.0000  4 Se 2.43, 2 Ni 2.48
Ni 0.0000 0.0000 0.5000  2 Zn 2.48
Se 0.0000 0.5000 0.0000  2 Zn 2.43
Se 0.5000 0.0000 0.0000  2 Zn 2.43
Br 0.5000 0.5000 0.5000  4 Ni 3.44, 8 Se 3.47



*two*
The following is a DFT calculation (GGA-PBE) of a relaxed structure of ZnNiSe2Br.

Values from the calculation:
Crystal system   tetragonal
Density   5.43 g/cm3

Unit cell a=4.7400 b=4.7400 c=4.9235 alpha=90.00 beta=90.00 gamma=90.00
Closest atoms and distances in Å follow each position.
Atoms (fractional coordinates):
Zn 0.0000 0.0000 0.0000  4 Br 3.35, 8 Se 3.42
Ni 0.5000 0.5000 0.5000  4 Se 2.37, 2 Br 2.46
Se 0.0000 0.5000 0.5000  2 Ni 2.37
Se 0.5000 0.0000 0.5000  2 Ni 2.37
Br 0.5000 0.5000 0.0000  2 Ni 2.46



Order of stability, best first: *two*, *one*



*one*
The following is a DFT calculation (GGA-PBE) of a relaxed structure of ZrNiSe2Br.

Values from the calculation:
Crystal system   tetragonal
Density   6.12 g/cm3

Unit cell a=4.7602 b=4.7602 c=4.6407 alpha=90.00 beta=90.00 gamma=90.00
Closest atoms and distances in Å follow each position.
Atoms (fractional coordinates):
Zr 0.0000 0.0000 0.0000  8 Se 3.32, 4 Br 3.37
Ni 0.5000 0.5000 0.5000  2 Br 2.32, 4 Se 2.38
Se 0.0000 0.5000 0.5000  2 Ni 2.38
Se 0.5000 0.0000 0.5000  2 Ni 2.38
Br 0.5000 0.5000 0.0000  2 Ni 2.32



*two*
The following is a DFT calculation (GGA-PBE) of a relaxed structure of ZrNiSe2Br.

Values from the calculation:
Crystal system   tetragonal
Density   4.47 g/cm3

Unit cell a=5.2258 b=5.2258 c=5.2781 alpha=90.00 beta=90.00 gamma=90.00
Closest atoms and distances in Å follow each position.
Atoms (fractional coordinates):
Zr 0.0000 0.0000 0.0000  4 Se 2.61, 2 Br 2.64
Ni 0.5000 0.5000 0.5000  4 Br 3.70, 8 Se 3.71
Se 0.0000 0.5000 0.0000  2 Zr 2.61
Se 0.5000 0.0000 0.0000  2 Zr 2.61
Br 0.0000 0.0000 0.5000  2 Zr 2.64



Order of stability, best first: *one*, *two*



*one*
The following is a DFT calculation (GGA-PBE) of a relaxed structure of Si2NiBr.

Values from the calculation:
Crystal system   orthorhombic
Density   4.83 g/cm3

Unit cell a=3.5821 b=3.6066 c=5.1864 alpha=90.00 beta=90.00 gamma=90.00
Closest atoms and distances in Å follow each position.
Atoms (fractional coordinates):
Si 0.0000 0.0000 0.0000  4 Si 2.54, 2 Ni 2.59
Si 0.5000 0.5000 0.0000  4 Si 2.54, 2 Br 2.59
Ni 0.0000 0.0000 0.5000  4 Br 2.54, 2 Si 2.59
Br 0.5000 0.5000 0.5000  4 Ni 2.54, 2 Si 2.59



*two*
The following is a DFT calculation (GGA-PBE) of a relaxed structure of Si2NiBr.

Values from the calculation:
Crystal system   tetragonal
Density   4.14 g/cm3

Unit cell a=3.4545 b=3.4545 c=13.0862 alpha=90.00 beta=90.00 gamma=90.00
Closest atoms and distances in Å follow each position.
Atoms (fractional coordinates):
Si 0.0000 0.5000 0.2500  4 Si 2.44
Si 0.0000 0.5000 0.7500  4 Si 2.44
Si 0.5000 0.0000 0.2500  4 Si 2.44
Si 0.5000 0.0000 0.7500  4 Si 2.44
Ni 0.0000 0.0000 0.0000  4 Br 2.44
Ni 0.5000 0.5000 0.5000  4 Br 2.44
Br 0.0000 0.0000 0.5000  4 Ni 2.44
Br 0.5000 0.5000 0.0000  4 Ni 2.44



Order of stability, best first: *one*, *two*



*one*
The following is a DFT calculation (GGA-PBE) of a relaxed structure of Si2NiBr.

Values from the calculation:
Crystal system   orthorhombic
Density   4.57 g/cm3

Unit cell a=4.7426 b=7.1491 c=4.1741 alpha=90.00 beta=90.00 gamma=90.00
Closest atoms and distances in Å follow each position.
Atoms (fractional coordinates):
Si 0.0000 0.1732 0.0000  2 Ni 2.43, 3 Si 2.48-2.61
Si 0.0000 0.8268 0.0000  2 Ni 2.43, 3 Si 2.48-2.61
Si 0.5000 0.3268 0.0000  2 Ni 2.43, 3 Si 2.48-2.61
Si 0.5000 0.6732 0.0000  2 Ni 2.43, 3 Si 2.48-2.61
Ni 0.0000 0.0000 0.5000  2 Br 2.37, 4 Si 2.43
Ni 0.5000 0.5000 0.5000  2 Br 2.37, 4 Si 2.43
Br 0.0000 0.5000 0.5000  2 Ni 2.37
Br 0.5000 0.0000 0.5000  2 Ni 2.37



*two*
The following is a DFT calculation (GGA-PBE) of a relaxed structure of Si2NiBr.

Values from the calculation:
Crystal system   monoclinic
Density   4.92 g/cm3

Unit cell a=11.4642 b=2.8461 c=4.3548 alpha=90.00 beta=112.30 gamma=90.00
Closest atoms and distances in Å follow each position.
Atoms (fractional coordinates):
Si 0.1985 0.0000 0.1972  2 Ni 2.54, 6 Si 2.81-2.85
Si 0.3015 0.5000 0.8028  2 Ni 2.54, 6 Si 2.81-2.85
Si 0.6985 0.5000 0.1972  2 Ni 2.54, 6 Si 2.81-2.85
Si 0.8015 0.0000 0.8028  2 Ni 2.54, 6 Si 2.81-2.85
Ni 0.0000 0.5000 0.0000  4 Si 2.54, 4 Br 2.60, 2 Ni 2.85
Ni 0.5000 0.0000 0.0000  4 Si 2.54, 4 Br 2.60, 2 Ni 2.85
Br 0.0000 0.0000 0.5000  4 Ni 2.60, 2 Br 2.85
Br 0.5000 0.5000 0.5000  4 Ni 2.60, 2 Br 2.85



*three*
The following is a DFT calculation (GGA-PBE) of a relaxed structure of Si2NiBr.

Values from the calculation:
Crystal system   orthorhombic
Density   4.60 g/cm3

Unit cell a=2.9979 b=5.0065 c=9.3669 alpha=90.00 beta=90.00 gamma=90.00
Closest atoms and distances in Å follow each position.
Atoms (fractional coordinates):
Si 0.0000 0.0000 0.0000  4 Si 2.80-3.00, 2 Br 2.89, 4 Ni 2.99
Si 0.0000 0.5000 0.2481  2 Ni 2.25
Si 0.5000 0.0000 0.7481  2 Ni 2.25
Si 0.5000 0.5000 0.5000  4 Si 2.80-3.00, 2 Br 2.89, 4 Ni 2.99
Ni 0.0000 0.0000 0.5690  2 Si 2.25
Ni 0.5000 0.5000 0.0690  2 Si 2.25
Br 0.0000 0.5000 0.8460  2 Ni 2.57
Br 0.5000 0.0000 0.3460  2 Ni 2.57



Order of stability, best first: *one*, *two*, *three*



*one*
The following is a DFT calculation (GGA-PBE) of a relaxed structure of Si2NiBr.

Values from the calculation:
Crystal system   tetragonal
Density   3.55 g/cm3

Unit cell a=5.5786 b=5.5786 c=11.6994 alpha=90.00 beta=90.00 gamma=90.00
Closest atoms and distances in Å follow each position.
Atoms (fractional coordinates):
Si 0.1342 0.2500 0.1250  2 Ni 2.16
Si 0.2500 0.6342 0.3750  2 Ni 2.16
Si 0.2500 0.8658 0.8750  2 Ni 2.16
Si 0.3658 0.2500 0.6250  2 Ni 2.16
Si 0.6342 0.7500 0.6250  2 Ni 2.16
Si 0.7500 0.1342 0.8750  2 Ni 2.16
Si 0.7500 0.3658 0.3750  2 Ni 2.16
Si 0.8658 0.7500 0.1250  2 Ni 2.16
Ni 0.0000 0.0000 0.0000  4 Si 2.16
Ni 0.0000 0.5000 0.2500  4 Si 2.16
Ni 0.5000 0.0000 0.7500  4 Si 2.16
Ni 0.5000 0.5000 0.5000  4 Si 2.16
Br 0.0000 0.0000 0.5000  4 Si 2.87
Br 0.0000 0.5000 0.7500  4 Si 2.87
Br 0.5000 0.0000 0.2500  4 Si 2.87
Br 0.5000 0.5000 0.0000  4 Si 2.87



*two*
The following is a DFT calculation (GGA-PBE) of a relaxed structure of Si2NiBr.

Values from the calculation:
Crystal system   tetragonal
Density   4.83 g/cm3

Unit cell a=5.1482 b=5.1482 c=5.0534 alpha=90.00 beta=90.00 gamma=90.00
Closest atoms and distances in Å follow each position.
Atoms (fractional coordinates):
Si 0.0000 0.5000 0.0000  2 Si 2.53, 2 Br 2.57, 2 Ni 2.57
Si 0.0000 0.5000 0.5000  2 Si 2.53, 2 Br 2.57, 2 Ni 2.57
Si 0.5000 0.0000 0.0000  2 Si 2.53, 2 Br 2.57, 2 Ni 2.57
Si 0.5000 0.0000 0.5000  2 Si 2.53, 2 Br 2.57, 2 Ni 2.57
Ni 0.0000 0.0000 0.0000  2 Br 2.53, 4 Si 2.57
Ni 0.5000 0.5000 0.5000  2 Br 2.53, 4 Si 2.57
Br 0.0000 0.0000 0.5000  2 Ni 2.53, 4 Si 2.57
Br 0.5000 0.5000 0.0000  2 Ni 2.53, 4 Si 2.57



Order of stability, best first: *one*, *two*



*one*
The following is a DFT calculation (GGA-PBE) of a relaxed structure of Si2NiBr.

Values from the calculation:
Crystal system   tetragonal
Density   4.97 g/cm3

Unit cell a=4.7324 b=4.7324 c=2.9066 alpha=90.00 beta=90.00 gamma=90.00
Closest atoms and distances in Å follow each position.
Atoms (fractional coordinates):
Si 0.0000 0.5000 0.0000  4 Br 2.78, 4 Ni 2.78, 2 Si 2.91
Si 0.5000 0.0000 0.0000  4 Br 2.78, 4 Ni 2.78, 2 Si 2.91
Ni 0.0000 0.0000 0.5000  8 Si 2.78, 2 Ni 2.91
Br 0.5000 0.5000 0.5000  8 Si 2.78, 2 Br 2.91



*two*
The following is a DFT calculation (GGA-PBE) of a relaxed structure of Si2NiBr.

Values from the calculation:
Crystal system   tetragonal
Density   4.33 g/cm3

Unit cell a=3.2286 b=3.2286 c=7.1574 alpha=90.00 beta=90.00 gamma=90.00
Closest atoms and distances in Å follow each position.
Atoms (fractional coordinates):
Si 0.0000 0.0000 0.0000  4 Ni 2.51, 4 Si 2.61, 1 Br 2.68
Si 0.5000 0.5000 0.1769  1 Ni 2.32
Ni 0.5000 0.5000 0.8532  5 Si 2.32-2.51
Br 0.0000 0.0000 0.6256  1 Si 2.68, 4 Ni 2.80



Order of stability, best first: *two*, *one*